1.
Computed, not measured: crystalline LiZnHgH2 at its relaxed geometry at the PBE-GGA level of DFT.

electronic total energy: -1.6795 eV per atom

abc: 3.797 5.701 3.797
angles: 90.00 90.00 90.00
Element x y z (fractional)
1 H 0.000 0.000 0.500
2 Hg 0.000 0.000 0.000
3 H 0.500 0.000 0.000
4 Li 0.500 0.500 0.500
5 Zn 0.000 0.500 0.000

2.
Computed, not measured: crystalline LiZn2HgH at its relaxed geometry at the PBE-GGA level of DFT.

electronic total energy: -1.6089 eV per atom

abc: 4.315 4.315 3.759
angles: 90.00 90.00 90.00
Element x y z (fractional)
1 H 0.000 0.000 0.000
2 Hg 0.500 0.500 0.500
3 Zn 0.500 0.000 0.000
4 Li 0.000 0.000 0.500
5 Zn 0.000 0.500 0.000

3.
Computed, not measured: crystalline Lu3HgH at its relaxed geometry at the PBE-GGA level of DFT.

electronic total energy: -3.6861 eV per atom

abc: 4.707 4.707 4.707
angles: 90.00 90.00 90.00
Element x y z (fractional)
1 Lu 0.000 0.500 0.000
2 Hg 0.500 0.500 0.500
3 Lu 0.000 0.000 0.500
4 Lu 0.500 0.000 0.000
5 H 0.000 0.000 0.000